{
  "formula": "GaSn4I8",
  "functional": "PBE-GGA",
  "state": "optimized geometry",
  "lattice": [[0.000, 6.788, 6.788], [6.788, 0.000, 6.788], [6.788, 6.788, 0.000]],
  "species": ["Ga", "Sn", "Sn", "Sn", "Sn", "I", "I", "I", "I", "I", "I", "I", "I"],
  "frac_coords": [[0.000, 0.000, 0.000], [0.136, 0.621, 0.621], [0.621, 0.136, 0.621], [0.621, 0.621, 0.136], [0.621, 0.621, 0.621], [0.385, 0.385, 0.385], [0.385, 0.385, 0.845], [0.385, 0.845, 0.385], [0.407, 0.864, 0.864], [0.845, 0.385, 0.385], [0.864, 0.407, 0.864], [0.864, 0.864, 0.407], [0.864, 0.864, 0.864]],
  "total_magnetization_mub_per_fu": 0.0,
  "spacegroup": "F-43m, No. 216",
  "e_tot_ev_per_atom": -2.77,
  "formation_energy_uncorrected_ev_per_fu": -4.57
}


{
  "formula": "Ca3CuRu",
  "functional": "PBE-GGA",
  "state": "optimized geometry",
  "lattice": [[5.358, 0.000, 0.000], [0.000, 5.358, 0.000], [0.000, 0.000, 5.358]],
  "species": ["Ca", "Ca", "Ca", "Cu", "Ru"],
  "frac_coords": [[0.000, 0.000, 0.500], [0.000, 0.500, 0.000], [0.500, 0.000, 0.000], [0.500, 0.500, 0.500], [0.000, 0.000, 0.000]],
  "total_magnetization_mub_per_fu": 0.0,
  "delta_e_f_ev_per_atom": 0.3787,
  "spacegroup": "Pm-3m, No. 221",
  "e_tot_ev_per_atom": -3.50,
  "de_polymorph_ev_per_atom": 0.000
}


{
  "formula": "LiNpSi2",
  "functional": "PBE-GGA",
  "state": "optimized geometry",
  "lattice": [[6.548, 0.000, 0.000], [0.000, 6.548, 0.000], [0.000, 0.000, 6.548]],
  "species": ["Li", "Li", "Li", "Li", "Np", "Np", "Np", "Np", "Si", "Si", "Si", "Si", "Si", "Si", "Si", "Si"],
  "frac_coords": [[0.000, 0.000, 0.000], [0.000, 0.500, 0.500], [0.500, 0.000, 0.500], [0.500, 0.500, 0.000], [0.000, 0.000, 0.500], [0.000, 0.500, 0.000], [0.500, 0.000, 0.000], [0.500, 0.500, 0.500], [0.250, 0.250, 0.250], [0.250, 0.250, 0.750], [0.250, 0.750, 0.250], [0.250, 0.750, 0.750], [0.750, 0.250, 0.250], [0.750, 0.250, 0.750], [0.750, 0.750, 0.250], [0.750, 0.750, 0.750]],
  "total_magnetization_mub_per_fu": 3.5,
  "spacegroup": "Fm-3m, No. 225",
  "e_tot_ev_per_atom": -6.47,
  "formation_energy_uncorrected_ev_per_fu": -0.17,
  "de_polymorph_ev_per_atom": 0.044
}


{
  "formula": "NaSrTc2Cl",
  "functional": "PBE-GGA",
  "state": "optimized geometry",
  "lattice": [[5.075, 0.000, 0.000], [0.000, 5.075, 0.000], [0.000, 0.000, 5.311]],
  "species": ["Na", "Sr", "Tc", "Tc", "Cl"],
  "frac_coords": [[0.000, 0.000, 0.000], [0.500, 0.500, 0.500], [0.000, 0.500, 0.000], [0.500, 0.000, 0.000], [0.000, 0.000, 0.500]],
  "total_magnetization_mub_per_fu": 6.6,
  "spacegroup": "P4/mmm, No. 123",
  "e_tot_ev_per_atom": -3.78,
  "formation_energy_uncorrected_ev_per_fu": 6.69
}


{
  "formula": "LiGeP",
  "functional": "PBE-GGA",
  "state": "optimized geometry",
  "lattice": [[4.475, 0.000, 0.000], [-2.238, 3.876, 0.000], [0.000, 0.000, 2.782]],
  "species": ["Li", "Ge", "P"],
  "frac_coords": [[0.000, 0.000, 0.000], [0.333, 0.667, 0.500], [0.667, 0.333, 0.500]],
  "total_magnetization_mub_per_fu": 0.0,
  "delta_e_f_ev_per_atom": -0.0579,
  "spacegroup": "P-6m2, No. 187",
  "e_tot_ev_per_atom": -4.04,
  "de_polymorph_ev_per_atom": 0.262
}


{
  "formula": "CePmSmTh",
  "functional": "PBE-GGA",
  "state": "optimized geometry",
  "lattice": [[3.573, 0.000, 0.000], [-1.787, 3.095, 0.000], [0.000, 0.000, 34.779]],
  "species": ["Ce", "Ce", "Ce", "Pm", "Pm", "Pm", "Sm", "Sm", "Sm", "Th", "Th", "Th"],
  "frac_coords": [[0.000, 0.000, 0.000], [0.333, 0.667, 0.667], [0.667, 0.333, 0.333], [0.000, 0.000, 0.171], [0.333, 0.667, 0.838], [0.667, 0.333, 0.504], [0.000, 0.000, 0.416], [0.333, 0.667, 0.082], [0.667, 0.333, 0.749], [0.000, 0.000, 0.587], [0.333, 0.667, 0.254], [0.667, 0.333, 0.921]],
  "total_magnetization_mub_per_fu": 0.0,
  "delta_e_f_ev_per_atom": 0.0378,
  "spacegroup": "R3m, No. 160",
  "e_tot_ev_per_atom": -5.67,
  "de_polymorph_ev_per_atom": 0.000
}